First-principles (PBE with a Hubbard U) data for a relaxed BaNa2MoF8 crystal, as listed in Alexandria via LeMat-Bulk.

a = 4.5562 Å, b = 5.6232 Å, c = 7.8269 Å
α = 85.96°, β = 87.52°, γ = 87.98°
Space group P-1 (No. 2)
Inequivalent atoms, fractional coordinates:
Ba: 0.0000 0.0000 0.0000 [1 per cell]
Na: 0.4678 0.4695 0.2361 [2 per cell]
Mo: 0.0000 0.0000 0.5000 [1 per cell]
F: 0.1272 0.7773 0.7069 [2 per cell]
F: 0.1612 0.7941 0.3179 [2 per cell]
F: 0.3357 0.2133 0.4828 [2 per cell]
F: 0.4584 0.2591 0.9930 [2 per cell]

Values from the calculation:
The calculation puts the energy at -61.92 eV for the cell shown.